A relaxed structure of Sr2GdCu2RuO8. Source: Alexandria, functional GGA-PBEsol.

a = 5.390 Å, b = 5.390 Å, c = 11.461 Å
α = 90.00°, β = 90.00°, γ = 90.00°
Site moments in Bohr magnetons follow the coordinates.
Atoms (fractional coordinates):
1 O 0.249 0.251 0.628  0.01
2 O 0.815 0.315 0.000  0.17
3 Sr 0.000 0.500 0.192  0.01
4 Cu 0.000 0.000 0.358  0.01
5 Gd 0.500 0.000 0.500  6.87
6 Sr 0.500 0.000 0.808  0.01
7 Cu 0.500 0.500 0.642  0.01
8 O 0.000 0.000 0.168  0.19
9 Ru 0.500 0.500 0.000  1.69
10 Ru 0.000 0.000 0.000  1.69
11 O 0.185 0.685 0.000  0.17
12 Sr 0.000 0.500 0.808  0.01
13 O 0.251 0.751 0.372  0.01
14 O 0.751 0.749 0.628  0.01
15 Cu 0.000 0.000 0.642  0.01
16 Sr 0.500 0.000 0.192  0.01
17 Gd 0.000 0.500 0.500  6.87
18 O 0.315 0.185 0.000  0.17
19 O 0.751 0.749 0.372  0.01
20 O 0.749 0.249 0.628  0.01
21 O 0.749 0.249 0.372  0.01
22 O 0.685 0.815 0.000  0.17
23 O 0.000 0.000 0.832  0.19
24 O 0.500 0.500 0.832  0.19
25 O 0.251 0.751 0.628  0.01
26 O 0.249 0.251 0.372  0.01
27 Cu 0.500 0.500 0.358  0.01
28 O 0.500 0.500 0.168  0.19

## Properties
**Symmetry**: No. 127
**Formation energy from raw total energies**: -1.928 eV per atom
**Density of states at the Fermi level**: 0.302 states/eV/atom
**Total moment**: 0.69 μB/atom
**ρ**: 6.87 Mg/m³
**Energy relative to the lowest polymorph listed for this composition**: 0.0 meV/atom



A relaxed structure of ZrTe2Os. Source: Alexandria, functional GGA-PBEsol.

a = 3.384 Å, b = 3.384 Å, c = 9.515 Å
α = 79.76°, β = 79.76°, γ = 60.00°
Atoms (fractional coordinates):
1 Os 0.500 0.500 0.500
2 Zr 0.000 0.000 0.000
3 Te 0.102 0.102 0.694
4 Te 0.898 0.898 0.306

## Properties
**Symmetry**: No. 166
**Formation energy from raw total energies**: 0.428 eV per atom
**Density of states at the Fermi level**: 1.340 states/eV/atom
**Total moment**: 0.00 μB/atom
**ρ**: 9.65 Mg/m³
**Energy relative to the lowest polymorph listed for this composition**: 280.8 meV/atom



> Which of these has the lowest energy relative to the lowest polymorph listed for this composition?

Sr2GdCu2RuO8



> Which of these has the highest total moment?

Sr2GdCu2RuO8